Below is crystalline Li2NdTl at its relaxed geometry, with properties calculated at the PBEsol level.

Summary:
- total magnetization (μB/atom) = 0.0000
- raw total energy (eV per atom) = -3.230

Lattice parameters (Å, degrees): 4.8781 4.8781 4.8781 60.00 60.00 60.00
Atoms (fractional coordinates):
1 Li 0.2500 0.2500 0.2500
2 Li 0.7500 0.7500 0.7500
3 Nd 0.0000 0.0000 0.0000
4 Tl 0.5000 0.5000 0.5000

---

Below is crystalline ZnCl3 at its relaxed geometry, with properties calculated at the PBEsol level.

Summary:
- total magnetization (μB/atom) = 0.0012
- raw total energy (eV per atom) = -2.352

Lattice parameters (Å, degrees): 4.7668 4.7668 4.7668 90.00 90.00 90.00
Atoms (fractional coordinates):
1 Zn 0.0000 0.0000 0.0000
2 Cl 0.0000 0.0000 0.5000
3 Cl 0.0000 0.5000 0.0000
4 Cl 0.5000 0.0000 0.0000

---

Below is crystalline MnZnO3 at its relaxed geometry, with properties calculated at the PBEsol level.

Summary:
- total magnetization (μB/atom) = 0.6000
- raw total energy (eV per atom) = -7.003

Lattice parameters (Å, degrees): 5.3893 5.3893 5.3893 54.60 54.60 54.60
Atoms (fractional coordinates):
1 Mn 0.1585 0.1585 0.1585
2 Mn 0.8415 0.8415 0.8415
3 Zn 0.3653 0.3653 0.3653
4 Zn 0.6347 0.6347 0.6347
5 O 0.0481 0.4376 0.7831
6 O 0.2169 0.9519 0.5624
7 O 0.4376 0.7831 0.0481
8 O 0.5624 0.2169 0.9519
9 O 0.7831 0.0481 0.4376
10 O 0.9519 0.5624 0.2169

---

Below is crystalline KPb at its relaxed geometry, with properties calculated at the PBEsol level.

Summary:
- offset from the most stable computed form (meV/atom) = 83
- total magnetization (μB/atom) = 0.0000
- raw total energy (eV per atom) = -2.715

Lattice parameters (Å, degrees): 6.4577 6.4577 6.4577 137.23 125.86 71.34
Atoms (fractional coordinates):
1 K 0.3511 0.1011 0.2500
2 K 0.6489 0.8989 0.7500
3 Pb 0.0898 0.3398 0.7500
4 Pb 0.9102 0.6602 0.2500

---

Below is crystalline Fe2NiBiSb at its relaxed geometry, with properties calculated at the PBEsol level.

Summary:
- total magnetization (μB/atom) = 1.2739
- raw total energy (eV per atom) = -5.719

Lattice parameters (Å, degrees): 4.5604 4.5604 4.7848 90.00 90.00 90.00
Atoms (fractional coordinates):
1 Fe 0.0000 0.5000 0.0000
2 Fe 0.5000 0.0000 0.0000
3 Ni 0.0000 0.0000 0.0000
4 Bi 0.0000 0.0000 0.5000
5 Sb 0.5000 0.5000 0.5000

---

Below is crystalline MgAg at its relaxed geometry, with properties calculated at the PBEsol level.

Summary:
- total magnetization (μB/atom) = 0.0000
- raw total energy (eV per atom) = -2.728

Lattice parameters (Å, degrees): 5.2534 5.2534 5.2534 135.34 135.34 65.00
Atoms (fractional coordinates):
1 Mg 0.3750 0.6250 0.7500
2 Mg 0.6250 0.3750 0.2500
3 Ag 0.1250 0.8750 0.2500
4 Ag 0.8750 0.1250 0.7500